Below is a relaxed Hg2CO3 crystal, with properties calculated at the PBE level.

The structure in extended XYZ format:
```
12
Lattice="4.304 -3.834 0.000 4.304 3.834 0.000 -2.940 0.000 7.116" Properties=species:S:1:pos:R:3 pbc="T T T"
Hg 2.494 2.597 3.721
Hg 1.705 2.597 6.953
Hg 3.964 -2.597 0.163
Hg 3.174 -2.597 3.395
C 2.099 0.020 5.337
C 3.569 -0.020 1.779
O 1.638 0.663 4.286
O 3.569 1.258 1.779
O 3.108 -0.663 0.728
O 2.560 0.663 6.387
O 2.099 -1.258 5.337
O 4.030 -0.663 2.830
```

Properties
Formation energy (no corrections), eV/atom: -0.797
Final energy, Ry/atom: -0.361
Calculated volume, Å³ per atom: 19.570